CaInHg2 after structural relaxation, computed with PBE.

Calculated values
The calculation puts the total magnetization at 0.00 μB/f.u. The calculation puts the total energy at -1.689 eV per atom.

The structure in POSCAR format:
```
CaInHg2
1.0
-2.4187 -0.7942 4.0895
3.4175 -3.1006 1.4191
2.1971 3.3106 1.9424
In Ca Hg
1 1 2
Cartesian
-0.1108 1.2582 3.0159
2.8073 0.1050 1.6807
0.4994 -1.9474 2.7543
0.0000 0.0000 0.0000
```